# 1
Material: InH12N3F6
Method: DFT, SCAN
State: PBEsol geometry Values from VASP.

Geometry as Quantum ESPRESSO input:
```
&SYSTEM
  ibrav = 0, nat = 88, ntyp = 4
/
ATOMIC_SPECIES
In 114.82 In.upf
F 19.00 F.upf
H 1.01 H.upf
N 14.01 N.upf
ATOMIC_POSITIONS angstrom
In 0.0000 3.6179 5.2706
In 0.0000 0.0000 0.0000
In 3.2279 -2.1584 5.3350
In 3.2279 5.7764 -0.0644
F 0.8656 2.4144 3.8111
F 1.3375 6.5591 0.4049
F 2.9954 -1.0482 3.5626
F 4.7845 6.2912 9.8112
F 1.6712 0.9447 0.7300
F 3.5788 2.9521 9.1764
F 2.3622 0.2560 9.1461
F 2.0552 7.8115 4.4326
F 1.1726 5.6531 9.7676
F 0.3510 2.1253 6.6997
F 6.2232 10.4425 1.6437
F 4.8990 8.4496 4.4762
F 5.1182 0.6768 10.1363
F 4.5654 2.8352 4.8014
F 1.8903 4.4006 5.7398
F 1.5567 -1.2138 6.0649
F 6.1048 5.1105 3.8415
F 0.2325 -3.2066 8.8975
F 4.4005 -0.5757 6.1086
F 2.8769 4.2837 1.3648
F 5.2831 1.5828 0.7736
F 5.5901 4.8214 6.7300
F 4.0935 6.9799 1.3951
F 3.4603 8.2840 6.9786
H 4.0750 1.5057 1.9717
H 3.5122 8.4624 1.0913
H 0.7019 -0.2544 7.8968
H 2.3807 5.7301 8.5695
H 6.4035 -1.6473 8.4622
H 0.6842 -0.5588 4.8645
H 6.1714 6.3039 6.4263
H 2.0195 1.8384 6.6678
H 0.9195 7.3381 5.7307
H 0.2843 0.9319 4.1149
H 3.8850 2.0634 3.5802
H 5.7986 -0.0951 8.9152
H 0.1384 7.7615 7.2078
H 3.1757 6.7247 7.4139
H 4.1474 -2.2608 10.1454
H 0.0522 8.8831 2.0790
H 3.3066 2.1882 7.7080
H 5.6086 -0.6527 7.3066
H 3.9121 9.9531 0.3418
H 0.0787 2.8892 8.1681
H 5.5362 -0.1023 4.8104
H 2.5707 5.1725 6.9610
H 3.3662 -2.6841 8.6683
H 2.5259 1.9040 2.5618
H 3.1492 5.0477 2.8332
H 3.2800 0.5112 3.1273
H 4.4362 5.3975 3.8734
H 1.2083 3.9968 1.3328
H 3.0645 6.4368 3.8393
H 0.6571 7.3309 1.6260
H 6.1403 4.4849 0.6808
H 6.3770 4.3466 2.3731
H 2.5437 -2.7172 10.1994
H 3.9298 5.3318 7.9794
H 0.8471 7.8885 3.2346
H 3.0895 9.9200 1.8729
H 0.1634 4.2783 9.1742
H 0.3154 2.7509 9.8604
H 5.7715 7.7946 5.6767
H 3.5432 2.3265 6.0157
H 6.3173 -0.5257 3.3334
H 2.3083 9.4966 0.3958
H 6.2923 2.9575 1.3670
H 3.3912 0.7991 6.7019
H 5.7538 7.4902 2.6444
H 2.9125 4.9093 4.5255
H 5.2474 3.2390 9.2084
H 2.9435 -1.2265 9.4499
N 3.0131 5.7359 7.7352
N 0.2148 7.8943 2.4002
N 3.2598 -2.2217 9.6032
N 0.1666 3.9414 1.4362
N 3.0613 1.7830 6.7711
N 6.4238 -0.0633 4.2683
N 6.2409 -0.6585 8.1410
N 6.2892 3.2944 9.1050
N 3.4426 1.4999 2.8060
N 0.0319 7.2991 6.2729
N 3.1960 9.4576 0.9380
N 3.3944 5.4529 3.7701
CELL_PARAMETERS angstrom
6.4557 0.0000 0.0000
0.0000 11.5527 -0.1287
0.0000 -4.3169 10.6699
```

---

# 2
! ScReOsSe2 SCAN PBEsol geometry; values from VASP
! Uncorrected formation energy (eV/atom): 1.6910
&SYSTEM
  ibrav = 0, nat = 5, ntyp = 4
/
ATOMIC_SPECIES
Se 78.96 Se.upf
Os 190.23 Os.upf
Sc 44.96 Sc.upf
Re 186.21 Re.upf
ATOMIC_POSITIONS angstrom
Se 2.4035 0.0000 0.0000
Se 0.0000 2.4035 0.0000
Os 0.0000 0.0000 2.3903
Sc 0.0000 0.0000 0.0000
Re 2.4035 2.4035 2.3903
CELL_PARAMETERS angstrom
4.8071 0.0000 0.0000
0.0000 4.8071 0.0000
0.0000 0.0000 4.7807

---

# 3
! La3ZnO SCAN PBEsol geometry; values from VASP
! Uncorrected formation energy (eV/atom): -1.3799
&SYSTEM
  ibrav = 0, nat = 5, ntyp = 3
/
ATOMIC_SPECIES
La 138.91 La.upf
O 16.00 O.upf
Zn 65.41 Zn.upf
ATOMIC_POSITIONS angstrom
La -0.8582 2.3107 -0.2058
La 2.1271 0.8714 0.9134
La -0.9258 -0.1399 2.2894
O 0.0000 0.0000 0.0000
Zn 0.3430 3.0421 2.9970
CELL_PARAMETERS angstrom
-1.7164 4.6213 -0.4117
-1.8517 -0.2798 4.5788
4.2541 1.7427 1.8269

---

# 4
! As3Rh SCAN PBEsol geometry; values from VASP
! Energy of formation (meV/atom): -546
&SYSTEM
  ibrav = 0, nat = 16, ntyp = 2
/
ATOMIC_SPECIES
As 74.92 As.upf
Rh 102.91 Rh.upf
ATOMIC_POSITIONS angstrom
As 2.4183 1.8955 0.8802
As -1.4611 -0.5418 5.1015
As 0.0237 1.5581 5.1015
As -0.9810 2.2182 2.0816
As -2.4658 3.2681 3.9001
As 2.4658 -1.7436 4.7803
As -0.0238 5.1971 1.2014
As 3.9031 3.9953 0.8802
As 4.9078 0.1855 2.0816
As 0.9810 -0.6936 2.9618
As 3.4230 1.2354 3.9001
As 1.4611 4.1472 3.0199
Rh 1.2210 1.7268 2.9909
Rh 3.6630 0.0000 0.0000
Rh -1.2210 3.4535 0.0000
Rh -1.2210 -1.7268 2.9909
CELL_PARAMETERS angstrom
7.3261 0.0000 0.0000
-2.4420 6.9071 0.0000
-2.4420 -3.4535 5.9817

---

# 5
! Mg3Hg SCAN PBEsol geometry; values from VASP
! Energy of formation (meV/atom): -253
&SYSTEM
  ibrav = 0, nat = 24, ntyp = 2
/
ATOMIC_SPECIES
Mg 24.30 Mg.upf
Hg 200.59 Hg.upf
ATOMIC_POSITIONS angstrom
Mg 10.0319 2.8067 5.2322
Mg 3.1726 -1.5042 5.4892
Mg 9.7702 5.3092 3.4999
Mg 4.4870 5.0665 3.9217
Mg 2.9109 0.9983 3.7569
Mg 5.4086 2.4073 2.6603
Mg 7.5342 1.3977 6.3288
Mg 8.4559 -1.2615 5.0674
Mg 13.1994 -0.0842 6.0514
Mg 0.6650 1.2300 1.6764
Mg 4.7512 2.5400 5.6706
Mg 9.1191 5.4406 6.4815
Mg 0.0077 1.3627 4.6867
Mg 8.1916 1.2650 3.3184
Mg 12.2778 2.5750 7.3127
Mg 3.8237 -1.6356 2.5075
Mg -0.2566 3.8892 2.9377
Mg 12.9352 2.4422 4.3024
Hg 7.2767 3.9322 4.5809
Hg 12.0041 5.1055 5.5615
Hg 3.5650 0.8848 0.7395
Hg 0.9387 -1.3005 3.4276
Hg 5.6661 -0.1272 4.4082
Hg 10.6949 2.6543 2.2185
CELL_PARAMETERS angstrom
-1.8464 5.3277 2.5271
0.5294 -5.0618 3.5040
14.2599 3.5391 2.9579

---

# 6
! BaLiZn SCAN PBEsol geometry; values from VASP
! Energy of formation (meV/atom): -58
&SYSTEM
  ibrav = 0, nat = 3, ntyp = 3
/
ATOMIC_SPECIES
Zn 65.41 Zn.upf
Li 6.94 Li.upf
Ba 137.33 Ba.upf
ATOMIC_POSITIONS angstrom
Zn 0.0000 0.0000 3.3847
Li 1.9250 1.9250 2.3229
Ba 1.9250 1.9250 5.4707
CELL_PARAMETERS angstrom
3.8501 0.0000 0.0000
0.0000 3.8501 0.0000
-1.9250 -1.9250 5.5892

---

# 7
! CuRh2Au SCAN PBEsol geometry; values from VASP
! Energy of formation (meV/atom): 41
&SYSTEM
  ibrav = 0, nat = 4, ntyp = 3
/
ATOMIC_SPECIES
Au 196.97 Au.upf
Cu 63.55 Cu.upf
Rh 102.91 Rh.upf
ATOMIC_POSITIONS angstrom
Au -1.1706 1.4460 3.3453
Cu -0.7452 0.8013 5.9222
Rh 0.4697 -0.6994 2.4505
Rh -2.2866 2.8246 6.5345
CELL_PARAMETERS angstrom
-0.5371 -2.5142 0.8989
2.5368 -0.1945 0.9718
-2.2930 2.8325 6.5528

---

# 8
! YTeSe SCAN PBEsol geometry; values from VASP
! Uncorrected formation energy (eV/atom): -1.3057
&SYSTEM
  ibrav = 0, nat = 3, ntyp = 3
/
ATOMIC_SPECIES
Te 127.60 Te.upf
Y 88.91 Y.upf
Se 78.96 Se.upf
ATOMIC_POSITIONS angstrom
Te 1.8766 1.8766 1.8383
Y 0.0000 0.0000 3.7077
Se 1.8766 1.8766 4.9000
CELL_PARAMETERS angstrom
3.7532 0.0000 0.0000
0.0000 3.7532 0.0000
-1.8766 -1.8766 5.2230

---

no.,E (eV per atom)
1,-6.9184
2,-37.7833
3,-31.1922
4,-24.1315
5,-21.0248
6,-18.5428
7,-37.9337
8,-29.6965